1.
Computed, not measured: ZrOsSe2 after structural relaxation at the GGA-PBE level of DFT.

Cell: 7.626 3.293 5.959 Å, 90.00 101.91 90.00°
Element x y z (fractional)
Zr1 0.000 0.000 0.000
Zr2 0.500 0.500 0.000
Os1 0.000 0.500 0.500
Os2 0.500 0.000 0.500
Se1 0.247 0.000 0.722
Se2 0.253 0.500 0.278
Se3 0.747 0.500 0.722
Se4 0.753 0.000 0.278

Properties
Formation energy without anion corrections   -45.2 meV/atom
Calculated density   10.0 g/cm3
Distance to the lowest polymorph of the same formula   484 meV/atom
Crystal system   monoclinic
Magnetic moment   0.00 μB per atom

2.
Computed, not measured: NiOsSe2N after structural relaxation at the GGA-PBE level of DFT.

Cell: 5.045 5.045 3.640 Å, 90.00 90.00 90.00°
Element x y z (fractional)
Ni1 0.000 0.000 0.000
Os1 0.500 0.500 0.500
Se1 0.000 0.500 0.500
Se2 0.500 0.000 0.500
N1 0.500 0.500 0.000

Properties
Formation energy without anion corrections   737.2 meV/atom
Calculated density   7.5 g/cm3
Distance to the lowest polymorph of the same formula   0 meV/atom
Crystal system   tetragonal
Magnetic moment   0.18 μB per atom

3.
Computed, not measured: Mg8Hg2Ru after structural relaxation at the GGA-PBE level of DFT.

Cell: 7.763 7.763 7.763 Å, 145.87 119.78 71.07°
Element x y z (fractional)
Mg1 0.120 0.351 0.769
Mg2 0.139 0.139 0.000
Mg3 0.289 0.000 0.289
Mg4 0.418 0.649 0.769
Mg5 0.582 0.351 0.231
Mg6 0.711 0.000 0.711
Mg7 0.861 0.861 0.000
Mg8 0.880 0.649 0.231
Hg1 0.307 0.807 0.500
Hg2 0.693 0.193 0.500
Ru1 0.000 0.500 0.500

Properties
Calculated density   5.2 g/cm3
Crystal system   orthorhombic
Magnetic moment   0.00 μB per atom
DFT formation energy   -0.11 eV/atom

4.
Computed, not measured: KCr2As after structural relaxation at the GGA-PBE level of DFT.

Cell: 3.080 4.589 6.399 Å, 90.00 94.59 90.00°
Element x y z (fractional)
K1 0.000 0.000 0.000
Cr1 0.299 0.500 0.613
Cr2 0.701 0.500 0.387
As1 0.500 0.000 0.500

Properties
Calculated density   4.0 g/cm3
Crystal system   monoclinic
Magnetic moment   0.00 μB per atom
DFT formation energy   0.66 eV/atom

5.
Computed, not measured: Tb2HoCd after structural relaxation at the GGA-PBE level of DFT.

Cell: 3.587 3.587 9.055 Å, 90.00 90.00 90.00°
Element x y z (fractional)
Tb1 0.000 0.000 0.229
Tb2 0.000 0.000 0.771
Ho1 0.500 0.500 0.500
Cd1 0.500 0.500 0.000

Properties
Calculated density   8.5 g/cm3
Distance to the lowest polymorph of the same formula   0 meV/atom
Crystal system   tetragonal
Magnetic moment   0.00 μB per atom
DFT formation energy   -0.14 eV/atom

6.
Computed, not measured: TcP2SO after structural relaxation at the GGA-PBE level of DFT.

Cell: 4.720 4.720 3.704 Å, 90.00 90.00 90.00°
Element x y z (fractional)
Tc1 0.000 0.000 0.000
P1 0.000 0.500 0.000
P2 0.500 0.000 0.000
S1 0.500 0.500 0.500
O1 0.000 0.000 0.500

Properties
Formation energy without anion corrections   66.5 meV/atom
Calculated density   4.2 g/cm3
Distance to the lowest polymorph of the same formula   0 meV/atom
Crystal system   tetragonal
Magnetic moment   0.00 μB per atom